1.
Compound: BiTeF2
Source: the Alexandria database
Functional: PBEsol
Structure: optimized geometry

Values from the calculation:
* magnetic moment: 0.53 μB per formula unit
* final energy: -66.0 eV/cell
* V: 323 Å³ per cell
* formation energy (no corrections): -116.4 kJ per mole of atoms

Unit cell a=4.479 b=4.479 c=16.080 alpha=90.00 beta=90.00 gamma=90.00
Space group I-42d (No. 122)
Unique sites:
Bi  0.000  0.000  0.000
Te  0.000  0.000  0.500
F  0.160  0.250  0.125

---

2.
Compound: BiTe2F2
Source: the Alexandria database
Functional: PBEsol
Structure: optimized geometry

Values from the calculation:
* magnetic moment: 0.00 μB per formula unit
* final energy: -37.8 eV/cell
* V: 196 Å³ per cell
* formation energy (no corrections): -71.2 kJ per mole of atoms

Unit cell a=7.788 b=7.788 c=3.234 alpha=90.00 beta=90.00 gamma=90.00
Space group P4/mbm (No. 127)
Unique sites:
Bi  0.000  0.000  0.000
Te  0.128  0.372  0.500
F  0.183  0.683  0.000

---

3.
Compound: TlBiTeF2
Source: the Alexandria database
Functional: PBEsol
Structure: optimized geometry

Values from the calculation:
* magnetic moment: 0.00 μB per formula unit
* final energy: -20.6 eV/cell
* V: 132 Å³ per cell
* formation energy (no corrections): -122.3 kJ per mole of atoms

Unit cell a=4.640 b=4.640 c=6.112 alpha=90.00 beta=90.00 gamma=90.00
Space group P4/mmm (No. 123)
Unique sites:
Tl  0.000  0.000  0.000
Bi  0.500  0.500  0.500
Te  0.500  0.500  0.000
F  0.000  0.500  0.500

---

4.
Compound: TiBiF3
Source: the Alexandria database
Functional: PBEsol
Structure: optimized geometry

Values from the calculation:
* magnetic moment: 3.51 μB per formula unit
* final energy: -23.3 eV/cell
* V: 99 Å³ per cell
* formation energy (no corrections): -93.8 kJ per mole of atoms

Unit cell a=4.625 b=4.625 c=4.625 alpha=90.00 beta=90.00 gamma=90.00
Space group Pm-3m (No. 221)
Unique sites:
Ti  0.000  0.000  0.000
Bi  0.500  0.500  0.500
F  0.000  0.500  0.500

---

5.
Compound: TlBi3F10
Source: the Alexandria database
Functional: PBEsol
Structure: optimized geometry

Values from the calculation:
* magnetic moment: 0.00 μB per formula unit
* final energy: -545.2 eV/cell
* V: 1717 Å³ per cell
* formation energy (no corrections): -230.1 kJ per mole of atoms

Unit cell a=11.975 b=11.975 c=11.975 alpha=90.00 beta=90.00 gamma=90.00
Space group Fm-3m (No. 225)
Unique sites:
Tl  0.250  0.250  0.250
Bi  0.000  0.000  0.241
F  0.000  0.165  0.335
F  0.113  0.113  0.113

---

6.
Compound: TlBi2F
Source: the Alexandria database
Functional: PBEsol
Structure: optimized geometry

Values from the calculation:
* magnetic moment: 0.00 μB per formula unit
* final energy: -60.3 eV/cell
* V: 374 Å³ per cell
* formation energy (no corrections): -46.8 kJ per mole of atoms

Unit cell a=7.208 b=7.208 c=7.208 alpha=90.00 beta=90.00 gamma=90.00
Space group Fm-3m (No. 225)
Unique sites:
Tl  0.000  0.000  0.000
Bi  0.250  0.250  0.250
F  0.000  0.000  0.500

---

7.
Compound: TlBiF4
Source: the Alexandria database
Functional: PBEsol
Structure: optimized geometry

Values from the calculation:
* magnetic moment: 0.00 μB per formula unit
* final energy: -111.0 eV/cell
* V: 410 Å³ per cell
* E above lowest polymorph: 0.050 eV/atom
* formation energy (no corrections): -211.1 kJ per mole of atoms

Unit cell a=6.106 b=6.106 c=11.008 alpha=90.00 beta=90.00 gamma=90.00
Space group I4_1/amd (No. 141, origin choice 2)
Unique sites:
Tl  0.000  0.250  0.375
Bi  0.000  0.250  0.875
F  0.202  0.000  0.000

---

8.
Compound: TlBiF4
Source: the Alexandria database
Functional: PBEsol
Structure: optimized geometry

Values from the calculation:
* magnetic moment: 0.00 μB per formula unit
* final energy: -27.9 eV/cell
* V: 103 Å³ per cell
* E above lowest polymorph: 0.024 eV/atom
* formation energy (no corrections): -213.6 kJ per mole of atoms

Unit cell a=3.973 b=3.973 c=6.557 alpha=90.00 beta=90.00 gamma=90.00
Space group P4/mmm (No. 123)
Unique sites:
Tl  0.000  0.000  0.000
Bi  0.500  0.500  0.500
F  0.000  0.500  0.301

---

- What is the formula in the fifth record?
  TlBi3F10

---

- The highest final energy belongs to which entry?
  TlBiTeF2

---

- Among the records above, which one has the lowest final energy?
  TlBi3F10

---

- Among the records above, which one has the highest V?
  TlBi3F10